1.
# As2OsPb

A relaxed structure of As2OsPb (PBE, the Alexandria database).

Calculated values
SG	Immm

The structure in extended XYZ format:
```
4
Lattice="-1.202 3.753 4.484 -5.780 1.400 0.517 4.386 -4.041 0.258" Properties=species:S:1:pos:R:3 pbc="T T T"
As -3.890 2.871 2.786
As -6.583 4.859 4.715
Os -0.153 1.144 3.622
Pb -2.442 -0.032 1.638
```

2.
# AsOsPb3

A relaxed structure of AsOsPb3 (PBE, the Alexandria database).

Calculated values
SG	Pm-3m

The structure in extended XYZ format:
```
5
Lattice="5.268 0.000 0.000 0.000 5.268 0.000 0.000 0.000 5.268" Properties=species:S:1:pos:R:3 pbc="T T T"
Pb 0.000 0.000 2.634
Pb 0.000 2.634 0.000
Pb 2.634 0.000 0.000
Os 0.000 0.000 0.000
As 2.634 2.634 2.634
```

3.
# As2OsPb

A relaxed structure of As2OsPb (PBE, the Alexandria database).

Calculated values
SG	Pm

The structure in extended XYZ format:
```
4
Lattice="-2.199 -3.610 1.622 3.262 -2.295 -0.684 2.353 0.640 4.616" Properties=species:S:1:pos:R:3 pbc="T T T"
Os 2.497 -0.887 1.413
As 0.569 -2.290 1.995
As 0.250 0.063 0.479
Pb 2.907 -2.978 3.632
```

4.
# As2OsPb

A relaxed structure of As2OsPb (PBE, the Alexandria database).

Calculated values
SG	P2/m

The structure in extended XYZ format:
```
4
Lattice="4.042 0.000 0.000 0.000 4.846 -0.005 0.000 1.972 4.590" Properties=species:S:1:pos:R:3 pbc="T T T"
As 0.000 0.377 0.550
As 0.000 3.032 1.743
Os 2.021 1.704 1.146
Pb 2.021 5.113 3.439
```

5.
# AsOs3Pb

A relaxed structure of AsOs3Pb (PBE, the Alexandria database).

Calculated values
SG	Pm-3m

The structure in extended XYZ format:
```
5
Lattice="-4.049 -2.826 0.682 2.140 -2.106 3.979 -1.968 3.525 2.924" Properties=species:S:1:pos:R:3 pbc="T T T"
As -1.939 -0.704 3.792
Os 1.070 -1.053 1.990
Os -0.984 1.762 1.462
Os -2.025 -1.413 0.341
Pb 0.000 0.000 0.000
```

6.
# As2OsPb

A relaxed structure of As2OsPb (PBE, the Alexandria database).

Calculated values
SG	I-42d

The structure in extended XYZ format:
```
8
Lattice="-3.508 -4.947 1.534 1.049 -2.493 -5.640 3.316 -6.324 -0.056" Properties=species:S:1:pos:R:3 pbc="T T T"
Pb -0.711 -7.496 -0.288
Pb 0.000 0.000 0.000
As 0.257 -11.066 -3.210
As -0.968 -4.612 0.124
As 1.644 -7.721 -2.007
As 0.782 -4.130 -3.232
Os 1.568 -6.269 -3.875
Os -1.229 -3.720 -2.053
```

no.,energy of formation (eV/atom),density of states at the Fermi level (states/eV/atom),total DFT energy (no corrections) (eV/atom)
1,0.395,0.777,-5.665
2,0.552,0.881,-4.849
3,0.448,0.635,-5.611
4,0.263,0.555,-5.796
5,3.179,1.289,-5.230
6,0.288,0.523,-5.771